Nd3PdPb | PBE | relaxed

Cell and atoms, written as POSCAR:
```
Nd3PdPb
1.0
8.394 -2.035 0.000
8.394 2.035 0.000
-0.391 0.000 8.903
Nd Pd Pb
6 2 2
direct
0.044 0.044 0.204 Nd
0.253 0.253 0.793 Nd
0.399 0.399 0.452 Nd
0.601 0.601 0.548 Nd
0.747 0.747 0.207 Nd
0.956 0.956 0.796 Nd
0.203 0.203 0.425 Pd
0.797 0.797 0.575 Pd
0.388 0.388 0.074 Pb
0.612 0.612 0.926 Pb
```

Calculated total energy: -5.141 eV per atom
Symmetry: C2/m, No. 12
Density of states at the Fermi level: 1.19 states/eV per atom